# 1
This record from Alexandria describes a relaxed K3InHg3 crystal. The functional is PBE.

Geometry as POSCAR:
```
K3InHg3
1.0
6.441 -2.558 0.000
6.441 2.558 0.000
-5.836 0.000 15.775
K In Hg
6 2 6
Direct
0.017 0.017 0.381 K
0.109 0.109 0.922 K
0.249 0.249 0.236 K
0.751 0.751 0.764 K
0.891 0.891 0.078 K
0.983 0.983 0.619 K
0.257 0.257 0.588 In
0.743 0.743 0.412 In
0.373 0.373 0.461 Hg
0.397 0.397 0.921 Hg
0.459 0.459 0.761 Hg
0.541 0.541 0.239 Hg
0.603 0.603 0.079 Hg
0.627 0.627 0.539 Hg
```

## Properties
ΔE_f	-0.219	eV/atom
density of states at the Fermi level	8.55	states/eV per cell
space-group type	C2/m

---

# 2
This record from Alexandria describes a relaxed Sr2ZrCo crystal. The functional is PBE.

Geometry as POSCAR:
```
Sr2ZrCo
1.0
3.616 0.000 0.000
0.000 4.856 0.000
-1.093 0.000 6.444
Sr Zr Co
2 1 1
Direct
0.087 0.000 0.270 Sr
0.913 0.000 0.730 Sr
0.500 0.500 0.000 Zr
0.500 0.500 0.500 Co
```

## Properties
ΔE_f	0.818	eV/atom
polymorph energy (0 for the lowest one)	650	meV/atom
density of states at the Fermi level	6.82	states/eV per cell
space-group type	P2/m

---

# 3
This record from Alexandria describes a relaxed TbNd2Gd crystal. The functional is PBE.

Geometry as POSCAR:
```
TbNd2Gd
1.0
0.000 4.081 4.081
4.081 0.000 4.081
4.081 4.081 0.000
Tb Nd Gd
1 2 1
Direct
0.000 0.000 0.000 Tb
0.250 0.250 0.250 Nd
0.750 0.750 0.750 Nd
0.500 0.500 0.500 Gd
```

## Properties
ΔE_f	0.114	eV/atom
polymorph energy (0 for the lowest one)	102	meV/atom
density of states at the Fermi level	8.83	states/eV per cell
space-group type	Fm-3m

---

# 4
This record from Alexandria describes a relaxed Hf3ZrAu crystal. The functional is PBE.

Geometry as POSCAR:
```
Hf3ZrAu
1.0
5.106 0.000 0.000
0.000 5.106 0.000
0.000 0.000 5.106
Hf Zr Au
3 1 1
Direct
0.000 0.000 0.500 Hf
0.000 0.500 0.000 Hf
0.500 0.000 0.000 Hf
0.500 0.500 0.500 Zr
0.000 0.000 0.000 Au
```

## Properties
ΔE_f	0.725	eV/atom
polymorph energy (0 for the lowest one)	0	meV/atom
density of states at the Fermi level	8.89	states/eV per cell
space-group type	Pm-3m

---

# 5
This record from Alexandria describes a relaxed AcLa3Pd crystal. The functional is PBE.

Geometry as POSCAR:
```
AcLa3Pd
1.0
5.809 0.000 0.000
0.000 5.809 0.000
0.000 0.000 5.809
Ac La Pd
1 3 1
Direct
0.000 0.000 0.000 Ac
0.000 0.500 0.500 La
0.500 0.000 0.500 La
0.500 0.500 0.000 La
0.500 0.500 0.500 Pd
```

## Properties
ΔE_f	-0.164	eV/atom
polymorph energy (0 for the lowest one)	66	meV/atom
density of states at the Fermi level	13.26	states/eV per cell
space-group type	Pm-3m

---

# 6
This record from Alexandria describes a relaxed Li2Bi3Pb3 crystal. The functional is PBE.

Geometry as POSCAR:
```
Li2Bi3Pb3
1.0
8.680 0.000 0.000
-4.340 7.517 0.000
0.000 0.000 3.441
Li Bi Pb
2 3 3
Direct
0.333 0.667 0.000 Li
0.667 0.333 0.000 Li
0.000 0.592 0.500 Bi
0.408 0.408 0.500 Bi
0.592 0.000 0.500 Bi
0.000 0.230 0.000 Pb
0.230 0.000 0.000 Pb
0.770 0.770 0.000 Pb
```

## Properties
ΔE_f	-0.147	eV/atom
density of states at the Fermi level	3.13	states/eV per cell
space-group type	P-62m

---

# 7
This record from Alexandria describes a relaxed DyHo3Sc5 crystal. The functional is PBE.

Geometry as POSCAR:
```
DyHo3Sc5
1.0
-4.160 4.160 7.099
4.160 -4.160 7.099
4.160 4.160 -7.099
Dy Ho Sc
2 6 10
Direct
0.250 0.750 0.500 Dy
0.750 0.250 0.500 Dy
0.119 0.619 0.738 Ho
0.250 0.250 0.000 Ho
0.381 0.119 0.500 Ho
0.619 0.881 0.500 Ho
0.750 0.750 0.000 Ho
0.881 0.381 0.262 Ho
0.000 0.000 0.000 Sc
0.071 0.159 0.500 Sc
0.159 0.659 0.088 Sc
0.341 0.429 0.500 Sc
0.429 0.929 0.088 Sc
0.500 0.500 0.000 Sc
0.571 0.071 0.912 Sc
0.659 0.571 0.500 Sc
0.841 0.341 0.912 Sc
0.929 0.841 0.500 Sc
```

## Properties
ΔE_f	0.292	eV/atom
density of states at the Fermi level	19.90	states/eV per cell
space-group type	I4/mcm

---

# 8
This record from Alexandria describes a relaxed Ac2AgSeO8 crystal. The functional is PBE.

Geometry as POSCAR:
```
Ac2AgSeO8
1.0
5.461 0.000 0.000
-2.730 4.729 0.000
0.000 0.000 6.820
Ac Ag Se O
2 1 1 8
Direct
0.333 0.667 0.326 Ac
0.667 0.333 0.674 Ac
0.000 0.000 0.000 Ag
0.000 0.000 0.500 Se
0.158 0.316 0.652 O
0.158 0.842 0.652 O
0.316 0.158 0.348 O
0.333 0.667 0.976 O
0.667 0.333 0.024 O
0.684 0.842 0.652 O
0.842 0.158 0.348 O
0.842 0.684 0.348 O
```

## Properties
density of states at the Fermi level	7.76	states/eV per cell
space-group type	P-3m1
uncorrected formation energy	-1.3024	eV per atom

---

# 9
This record from Alexandria describes a relaxed LaS2N crystal. The functional is PBE.

Geometry as POSCAR:
```
LaS2N
1.0
2.222 1.283 6.019
-2.222 1.283 6.019
0.000 -2.566 6.019
La S N
1 2 1
Direct
0.000 0.000 0.000 La
0.412 0.412 0.412 S
0.588 0.588 0.588 S
0.500 0.500 0.500 N
```

## Properties
density of states at the Fermi level	1.28	states/eV per cell
space-group type	R-3m
uncorrected formation energy	-0.2487	eV per atom

---

# 10
This record from Alexandria describes a relaxed ErMgScNi crystal. The functional is PBE.

Geometry as POSCAR:
```
ErMgScNi
1.0
3.325 0.000 0.000
0.000 3.325 0.000
0.000 0.000 7.672
Er Mg Sc Ni
1 1 1 1
Direct
0.000 0.000 0.000 Er
0.500 0.500 0.313 Mg
0.000 0.000 0.597 Sc
0.500 0.500 0.778 Ni
```

## Properties
ΔE_f	-0.271	eV/atom
polymorph energy (0 for the lowest one)	0	meV/atom
density of states at the Fermi level	2.90	states/eV per cell
space-group type	P4mm

---

# 11
This record from Alexandria describes a relaxed Be3VZn crystal. The functional is PBE.

Geometry as POSCAR:
```
Be3VZn
1.0
4.235 0.000 0.000
0.000 4.235 0.000
0.000 0.000 4.235
Be V Zn
3 1 1
Direct
0.000 0.000 0.500 Be
0.000 0.500 0.000 Be
0.500 0.000 0.000 Be
0.000 0.000 0.000 V
0.500 0.500 0.500 Zn
```

## Properties
ΔE_f	1.468	eV/atom
polymorph energy (0 for the lowest one)	618	meV/atom
density of states at the Fermi level	1.50	states/eV per cell
space-group type	Pm-3m

---

# 12
This record from Alexandria describes a relaxed PmHoTl6 crystal. The functional is PBE.

Geometry as POSCAR:
```
PmHoTl6
1.0
4.790 0.000 0.000
0.000 4.790 0.000
0.000 0.000 9.577
Pm Ho Tl
1 1 6
Direct
0.000 0.000 0.000 Pm
0.000 0.000 0.500 Ho
0.000 0.500 0.253 Tl
0.000 0.500 0.747 Tl
0.500 0.000 0.253 Tl
0.500 0.000 0.747 Tl
0.500 0.500 0.000 Tl
0.500 0.500 0.500 Tl
```

## Properties
ΔE_f	-0.263	eV/atom
density of states at the Fermi level	2.24	states/eV per cell
space-group type	P4/mmm

---

Q: density of states at the Fermi level of number 2 (Sr2ZrCo)?
A: 6.82 states/eV per cell

---

Q: Among the records above, which one has the lowest density of states at the Fermi level?
A: LaS2N